The following is a PBE calculation of crystalline Na3Tl6Sn at its relaxed geometry, from Alexandria.

Computed properties:
Polymorph energy (0 for the lowest one)   0.0000 eV/atom
E_form   -0.0823 eV/atom
Mass density   8.15 g/cm³
Symmetry   P2_1/m, No. 11

a b c (Å): 5.543 9.260 12.362
angles (deg): 114.80 90.00 90.00
Element x y z (fractional)
Na: 0.250 0.558 0.373
Na: 0.750 0.442 0.627
Na: 0.250 0.360 0.772
Na: 0.750 0.640 0.228
Na: 0.250 0.771 0.973
Na: 0.750 0.229 0.027
Tl: 0.250 0.468 0.068
Tl: 0.750 0.532 0.932
Tl: 0.250 0.166 0.168
Tl: 0.750 0.834 0.832
Tl: 0.250 0.669 0.671
Tl: 0.750 0.331 0.329
Tl: 0.250 0.262 0.472
Tl: 0.750 0.738 0.528
Tl: 0.250 0.856 0.273
Tl: 0.750 0.144 0.727
Tl: 0.250 0.062 0.862
Tl: 0.750 0.938 0.138
Sn: 0.250 0.968 0.562
Sn: 0.750 0.032 0.438

***

The following is a PBE calculation of crystalline Na4TlSn at its relaxed geometry, from Alexandria.

Computed properties:
Polymorph energy (0 for the lowest one)   0.0206 eV/atom
E_form   -0.1037 eV/atom
Mass density   3.99 g/cm³
Symmetry   C2/c, No. 15

a b c (Å): 5.719 5.477 11.703
angles (deg): 103.42 104.14 90.00
Element x y z (fractional)
Na: 0.622 0.170 0.841
Na: 0.781 0.330 0.159
Na: 0.378 0.830 0.159
Na: 0.219 0.670 0.841
Na: 0.058 0.080 0.661
Na: 0.398 0.420 0.339
Na: 0.942 0.920 0.339
Na: 0.602 0.580 0.661
Tl: 0.500 0.000 0.500
Tl: 0.000 0.500 0.500
Sn: 0.825 0.750 0.000
Sn: 0.175 0.250 0.000